[1]
## YNi4Pb (PBEsol)

Data for a geometry-optimized YNi4Pb structure.

a b c (Å): 4.962 4.962 4.962
angles (deg): 60.00 60.00 60.00
Atoms (fractional coordinates):
Y  0.000  0.000  0.000
Ni  0.375  0.375  0.375
Ni  0.375  0.375  0.875
Ni  0.375  0.875  0.375
Ni  0.875  0.375  0.375
Pb  0.750  0.750  0.750

Computed properties:
As for the formation energy: -275 meV per atom. The space group is F-43m (216). For the total magnetization, the calculation gives 0.00 μB/cell. As for the crystal system: cubic.

[2]
## YNi2Pb (PBEsol)

Data for a geometry-optimized YNi2Pb structure.

a b c (Å): 3.390 3.390 6.218
angles (deg): 90.00 90.00 90.00
Atoms (fractional coordinates):
Y  0.000  0.000  0.000
Ni  0.500  0.500  0.250
Ni  0.500  0.500  0.750
Pb  0.000  0.000  0.500

Computed properties:
As for the formation energy: -111 meV per atom. The space group is P4/mmm (123). For the total magnetization, the calculation gives 0.00 μB/cell. As for the crystal system: tetragonal.

[3]
## ZnNiPb2 (PBEsol)

Data for a geometry-optimized ZnNiPb2 structure.

a b c (Å): 4.855 4.855 3.418
angles (deg): 90.00 90.00 90.00
Atoms (fractional coordinates):
Zn  0.000  0.000  0.000
Ni  0.500  0.500  0.000
Pb  0.000  0.500  0.500
Pb  0.500  0.000  0.500

Computed properties:
As for the formation energy: 323 meV per atom. The space group is P4/mmm (123). For the total magnetization, the calculation gives 0.00 μB/cell. As for the crystal system: tetragonal.

[4]
## ZnNiPb (PBEsol)

Data for a geometry-optimized ZnNiPb structure.

a b c (Å): 4.335 4.335 4.335
angles (deg): 60.00 60.00 60.00
Atoms (fractional coordinates):
Zn  0.000  0.000  0.000
Ni  0.500  0.500  0.500
Pb  0.250  0.250  0.250

Computed properties:
As for the formation energy: 472 meV per atom. The space group is F-43m (216). For the total magnetization, the calculation gives 0.00 μB/cell. As for the crystal system: cubic.

[5]
## ZnNiPb (PBEsol)

Data for a geometry-optimized ZnNiPb structure.

a b c (Å): 4.234 4.234 4.234
angles (deg): 60.00 60.00 60.00
Atoms (fractional coordinates):
Zn  0.000  0.000  0.000
Ni  0.750  0.750  0.750
Pb  0.500  0.500  0.500

Computed properties:
As for the formation energy: 60 meV per atom. The space group is F-43m (216). For the total magnetization, the calculation gives 0.00 μB/cell. As for the crystal system: cubic.

[6]
## ZrNiPb2 (PBEsol)

Data for a geometry-optimized ZrNiPb2 structure.

a b c (Å): 4.891 4.891 4.891
angles (deg): 60.00 60.00 60.00
Atoms (fractional coordinates):
Zr  0.000  0.000  0.000
Ni  0.500  0.500  0.500
Pb  0.250  0.250  0.250
Pb  0.750  0.750  0.750

Computed properties:
As for the formation energy: 268 meV per atom. The space group is Fm-3m (225). For the total magnetization, the calculation gives 0.19 μB/cell. As for the crystal system: cubic.

[7]
## ZrNiPb (PBEsol)

Data for a geometry-optimized ZrNiPb structure.

a b c (Å): 5.982 5.982 5.982
angles (deg): 148.85 148.85 44.63
Atoms (fractional coordinates):
Zr  0.000  0.000  0.000
Ni  0.378  0.378  0.000
Pb  0.713  0.713  0.000

Computed properties:
As for the formation energy: -151 meV per atom. The space group is I4mm (107). For the total magnetization, the calculation gives 0.00 μB/cell. As for the crystal system: tetragonal.

[8]
## ZrNiPb (PBEsol)

Data for a geometry-optimized ZrNiPb structure.

a b c (Å): 3.509 3.509 5.780
angles (deg): 90.00 90.00 120.00
Atoms (fractional coordinates):
Zr  0.000  0.000  0.000
Ni  0.333  0.667  0.751
Pb  0.667  0.333  0.433

Computed properties:
As for the formation energy: 3 meV per atom. The space group is P3m1 (156). For the total magnetization, the calculation gives 0.00 μB/cell. As for the crystal system: trigonal.

[9]
## NiPd5 (PBEsol)

Data for a geometry-optimized NiPd5 structure.

a b c (Å): 5.208 5.208 5.208
angles (deg): 53.29 53.29 53.29
Atoms (fractional coordinates):
Ni  0.000  0.000  0.000
Pd  0.163  0.500  0.837
Pd  0.334  0.334  0.334
Pd  0.500  0.837  0.163
Pd  0.666  0.666  0.666
Pd  0.837  0.163  0.500

Computed properties:
As for the formation energy: 56 meV per atom. The space group is R32 (155). For the total magnetization, the calculation gives 2.72 μB/cell. As for the crystal system: trigonal.

[10]
## Pm2NiPd (PBEsol)

Data for a geometry-optimized Pm2NiPd structure.

a b c (Å): 4.917 4.917 4.917
angles (deg): 60.00 60.00 60.00
Atoms (fractional coordinates):
Pm  0.250  0.250  0.250
Pm  0.750  0.750  0.750
Ni  0.000  0.000  0.000
Pd  0.500  0.500  0.500

Computed properties:
As for the formation energy: -470 meV per atom. The space group is Fm-3m (225). For the total magnetization, the calculation gives 0.00 μB/cell. As for the crystal system: cubic.

[11]
## NiPd3Pt (PBEsol)

Data for a geometry-optimized NiPd3Pt structure.

a b c (Å): 4.754 4.754 4.754
angles (deg): 90.00 90.00 90.00
Atoms (fractional coordinates):
Ni  0.000  0.000  0.000
Pd  0.000  0.500  0.500
Pd  0.500  0.000  0.500
Pd  0.500  0.500  0.000
Pt  0.500  0.500  0.500

Computed properties:
As for the formation energy: 1599 meV per atom. The space group is Pm-3m (221). For the total magnetization, the calculation gives 0.89 μB/cell. As for the crystal system: cubic.

[12]
## TaReNiPd2 (PBEsol)

Data for a geometry-optimized TaReNiPd2 structure.

a b c (Å): 4.729 4.729 4.674
angles (deg): 90.00 90.00 90.00
Atoms (fractional coordinates):
Ta  0.000  0.000  0.000
Re  0.000  0.000  0.500
Ni  0.500  0.500  0.000
Pd  0.000  0.500  0.500
Pd  0.500  0.000  0.500

Computed properties:
As for the formation energy: 1733 meV per atom. The space group is P4/mmm (123). For the total magnetization, the calculation gives 0.41 μB/cell. As for the crystal system: tetragonal.

[13]
## NiPdS2 (PBEsol)

Data for a geometry-optimized NiPdS2 structure.

a b c (Å): 4.211 4.211 4.211
angles (deg): 60.00 60.00 60.00
Atoms (fractional coordinates):
Ni  0.000  0.000  0.000
Pd  0.500  0.500  0.500
S  0.250  0.250  0.250
S  0.750  0.750  0.750

Computed properties:
The space group is Fm-3m (225). The calculation puts the uncorrected formation energy at 0.817 kcal/mol of atoms. For the total magnetization, the calculation gives 0.00 μB/cell. As for the crystal system: cubic.

[14]
## Sc3NiPd (PBEsol)

Data for a geometry-optimized Sc3NiPd structure.

a b c (Å): 4.917 4.917 4.917
angles (deg): 90.00 90.00 90.00
Atoms (fractional coordinates):
Sc  0.000  0.000  0.500
Sc  0.000  0.500  0.000
Sc  0.500  0.000  0.000
Ni  0.500  0.500  0.500
Pd  0.000  0.000  0.000

Computed properties:
As for the formation energy: 310 meV per atom. The space group is Pm-3m (221). For the total magnetization, the calculation gives 0.00 μB/cell. As for the crystal system: cubic.

[15]
## NiPd3Se (PBEsol)

Data for a geometry-optimized NiPd3Se structure.

a b c (Å): 4.480 4.480 4.480
angles (deg): 90.00 90.00 90.00
Atoms (fractional coordinates):
Ni  0.000  0.000  0.000
Pd  0.000  0.000  0.500
Pd  0.000  0.500  0.000
Pd  0.500  0.000  0.000
Se  0.500  0.500  0.500

Computed properties:
The space group is Pm-3m (221). The calculation puts the uncorrected formation energy at 19.466 kcal/mol of atoms. For the total magnetization, the calculation gives 1.11 μB/cell. As for the crystal system: cubic.

[16]
## Si3NiPd (PBEsol)

Data for a geometry-optimized Si3NiPd structure.

a b c (Å): 4.568 4.568 4.568
angles (deg): 90.00 90.00 90.00
Atoms (fractional coordinates):
Si  0.000  0.000  0.500
Si  0.000  0.500  0.000
Si  0.500  0.000  0.000
Ni  0.500  0.500  0.500
Pd  0.000  0.000  0.000

Computed properties:
The space group is Pm-3m (221). The calculation puts the uncorrected formation energy at 21.360 kcal/mol of atoms. For the total magnetization, the calculation gives 0.00 μB/cell. As for the crystal system: cubic.

[17]
## TcNiSnPd2 (PBEsol)

Data for a geometry-optimized TcNiSnPd2 structure.

a b c (Å): 4.655 4.655 4.994
angles (deg): 90.00 90.00 90.00
Atoms (fractional coordinates):
Tc  0.000  0.000  0.000
Ni  0.500  0.500  0.500
Sn  0.000  0.000  0.500
Pd  0.000  0.500  0.000
Pd  0.500  0.000  0.000

Computed properties:
As for the formation energy: 1419 meV per atom. The space group is P4/mmm (123). For the total magnetization, the calculation gives 0.27 μB/cell. As for the crystal system: tetragonal.

[18]
## SrNiPd2 (PBEsol)

Data for a geometry-optimized SrNiPd2 structure.

a b c (Å): 4.607 4.607 4.607
angles (deg): 60.00 60.00 60.00
Atoms (fractional coordinates):
Sr  0.000  0.000  0.000
Ni  0.500  0.500  0.500
Pd  0.250  0.250  0.250
Pd  0.750  0.750  0.750

Computed properties:
As for the formation energy: 38 meV per atom. The space group is Fm-3m (225). For the total magnetization, the calculation gives 0.00 μB/cell. As for the crystal system: cubic.

[19]
## Ta2Ni2Pd (PBEsol)

Data for a geometry-optimized Ta2Ni2Pd structure.

a b c (Å): 6.651 6.651 3.190
angles (deg): 90.00 90.00 90.00
Atoms (fractional coordinates):
Ta  0.173  0.327  0.000
Ta  0.327  0.827  0.000
Ta  0.673  0.173  0.000
Ta  0.827  0.673  0.000
Ni  0.126  0.626  0.500
Ni  0.374  0.126  0.500
Ni  0.626  0.874  0.500
Ni  0.874  0.374  0.500
Pd  0.000  0.000  0.500
Pd  0.500  0.500  0.500

Computed properties:
As for the formation energy: -298 meV per atom. The space group is P4/mbm (127). For the total magnetization, the calculation gives 0.00 μB/cell. As for the crystal system: tetragonal.

[20]
## TaNi3Pd (PBEsol)

Data for a geometry-optimized TaNi3Pd structure.

a b c (Å): 4.345 4.345 4.345
angles (deg): 90.00 90.00 90.00
Atoms (fractional coordinates):
Ta  0.000  0.000  0.000
Ni  0.000  0.500  0.500
Ni  0.500  0.000  0.500
Ni  0.500  0.500  0.000
Pd  0.500  0.500  0.500

Computed properties:
As for the formation energy: 1514 meV per atom. The space group is Pm-3m (221). For the total magnetization, the calculation gives 0.22 μB/cell. As for the crystal system: cubic.